Material: TmZn2Ni9
Method: DFT, PBE
State: relaxed

The structure in POSCAR format:
```
TmZn2Ni9
1.0
2.396 1.383 7.751
-2.396 1.383 7.751
0.000 -2.766 7.751
Tm Zn Ni
1 2 9
direct
0.000 0.000 0.000
0.144 0.144 0.144
0.856 0.856 0.856
0.081 0.588 0.588
0.334 0.334 0.334
0.412 0.412 0.919
0.412 0.919 0.412
0.500 0.500 0.500
0.588 0.081 0.588
0.588 0.588 0.081
0.666 0.666 0.666
0.919 0.412 0.412
```

**Fermi-level density of states**: 1.178 states/eV/atom
**Space-group type**: No. 166

---

Material: Tm3ZnNi3
Method: DFT, PBE
State: relaxed

The structure in POSCAR format:
```
Tm3ZnNi3
1.0
2.061 -4.850 0.000
2.061 4.850 0.000
0.000 0.000 12.831
Tm Zn Ni
6 2 6
direct
0.015 0.985 0.750
0.296 0.704 0.604
0.296 0.704 0.896
0.704 0.296 0.104
0.704 0.296 0.396
0.985 0.015 0.250
0.000 0.000 0.000
0.000 0.000 0.500
0.276 0.724 0.250
0.415 0.585 0.091
0.415 0.585 0.409
0.585 0.415 0.591
0.585 0.415 0.909
0.724 0.276 0.750
```

**Fermi-level density of states**: 0.604 states/eV/atom
**Space-group type**: No. 63

---

Material: TmZn5Ni2
Method: DFT, PBE
State: relaxed

The structure in POSCAR format:
```
TmZn5Ni2
1.0
-1.830 3.715 4.630
1.830 -3.715 4.630
1.830 3.715 -4.630
Tm Zn Ni
1 5 2
direct
0.000 0.000 0.000
0.158 0.347 0.811
0.464 0.653 0.811
0.500 0.000 0.500
0.536 0.347 0.189
0.842 0.653 0.189
0.235 0.735 0.500
0.765 0.265 0.500
```

**Fermi-level density of states**: 0.550 states/eV/atom
**Space-group type**: No. 71

---

Material: TmZnNi2
Method: DFT, PBE
State: relaxed

The structure in POSCAR format:
```
TmZnNi2
1.0
5.103 0.000 0.000
0.000 4.767 0.000
0.000 0.000 11.722
Tm Zn Ni
4 4 8
direct
0.250 0.000 0.087
0.250 0.500 0.398
0.750 0.000 0.913
0.750 0.500 0.602
0.250 0.000 0.810
0.250 0.500 0.821
0.750 0.000 0.190
0.750 0.500 0.179
0.000 0.000 0.500
0.000 0.500 0.000
0.250 0.256 0.635
0.250 0.744 0.635
0.500 0.000 0.500
0.500 0.500 0.000
0.750 0.256 0.365
0.750 0.744 0.365
```

**Fermi-level density of states**: 0.779 states/eV/atom
**Space-group type**: No. 51

---

Material: TmZn3Ni8
Method: DFT, PBE
State: relaxed

The structure in POSCAR format:
```
TmZn3Ni8
1.0
4.799 0.000 0.000
-2.399 4.156 0.000
0.000 0.000 7.791
Tm Zn Ni
1 3 8
direct
0.000 0.000 0.000
0.000 0.000 0.387
0.667 0.333 0.488
0.667 0.333 0.844
0.165 0.330 0.677
0.165 0.835 0.677
0.333 0.667 0.431
0.333 0.667 0.930
0.503 0.006 0.188
0.503 0.497 0.188
0.670 0.835 0.677
0.994 0.497 0.188
```

**Fermi-level density of states**: 1.415 states/eV/atom
**Space-group type**: No. 156

---

Material: TmZn2Ni
Method: DFT, PBE
State: relaxed

The structure in POSCAR format:
```
TmZn2Ni
1.0
2.066 1.193 4.754
-2.066 1.193 4.754
0.000 -2.386 4.754
Tm Zn Ni
1 2 1
direct
0.000 0.000 0.000
0.211 0.211 0.211
0.789 0.789 0.789
0.500 0.500 0.500
```

**Fermi-level density of states**: 0.499 states/eV/atom
**Space-group type**: No. 166

---

Material: TmZn12Ni4
Method: DFT, PBE
State: relaxed

The structure in POSCAR format:
```
TmZn12Ni4
1.0
-4.193 4.193 4.193
4.193 -4.193 4.193
4.193 4.193 -4.193
Tm Zn Ni
1 12 4
direct
0.000 0.000 0.000
0.162 0.508 0.346
0.162 0.816 0.654
0.184 0.346 0.838
0.346 0.162 0.508
0.346 0.838 0.184
0.492 0.654 0.838
0.508 0.346 0.162
0.654 0.162 0.816
0.654 0.838 0.492
0.816 0.654 0.162
0.838 0.184 0.346
0.838 0.492 0.654
0.000 0.000 0.500
0.000 0.500 0.000
0.500 0.000 0.000
0.500 0.500 0.500
```

**Fermi-level density of states**: 0.607 states/eV/atom
**Space-group type**: No. 204

---

Material: Tm3Zn3Ni
Method: DFT, PBE
State: relaxed

The structure in POSCAR format:
```
Tm3Zn3Ni
1.0
-1.805 2.188 9.146
1.805 -2.188 9.146
1.805 2.188 -9.146
Tm Zn Ni
3 3 1
direct
0.000 0.000 0.000
0.375 0.375 0.000
0.702 0.202 0.500
0.131 0.631 0.500
0.553 0.553 0.000
0.833 0.833 0.000
0.263 0.763 0.500
```

**Fermi-level density of states**: 0.812 states/eV/atom
**Space-group type**: No. 44

---

Material: Tm11Zn9Ni4
Method: DFT, PBE
State: relaxed

The structure in POSCAR format:
```
Tm11Zn9Ni4
1.0
6.792 -10.285 0.000
6.792 10.285 0.000
0.000 0.000 3.483
Tm Zn Ni
11 9 4
direct
0.000 0.000 0.000
0.074 0.414 0.000
0.166 0.834 0.000
0.302 0.302 0.000
0.371 0.629 0.000
0.414 0.074 0.000
0.586 0.926 0.000
0.629 0.371 0.000
0.698 0.698 0.000
0.834 0.166 0.000
0.926 0.586 0.000
0.074 0.217 0.500
0.162 0.632 0.500
0.217 0.074 0.500
0.368 0.838 0.500
0.500 0.500 0.500
0.632 0.162 0.500
0.783 0.926 0.500
0.838 0.368 0.500
0.926 0.783 0.500
0.250 0.449 0.500
0.449 0.250 0.500
0.551 0.750 0.500
0.750 0.551 0.500
```

**Fermi-level density of states**: 0.735 states/eV/atom
**Space-group type**: No. 65

---

Material: Tm7Zn2Ni2
Method: DFT, PBE
State: relaxed

The structure in POSCAR format:
```
Tm7Zn2Ni2
1.0
3.752 -5.361 0.000
3.752 5.361 0.000
0.000 0.000 6.807
Tm Zn Ni
7 2 2
direct
0.000 0.000 0.000
0.000 0.500 0.255
0.000 0.500 0.745
0.500 0.000 0.255
0.500 0.000 0.745
0.500 0.500 0.248
0.500 0.500 0.752
0.169 0.169 0.500
0.831 0.831 0.500
0.296 0.704 0.000
0.704 0.296 0.000
```

**Fermi-level density of states**: 1.083 states/eV/atom
**Space-group type**: No. 65

---

Material: TmZn6Ni12
Method: DFT, PBE
State: relaxed

The structure in POSCAR format:
```
TmZn6Ni12
1.0
5.251 3.031 2.681
-5.251 3.031 2.681
0.000 -6.063 2.681
Tm Zn Ni
1 6 12
direct
0.000 0.000 0.000
0.291 0.291 0.708
0.291 0.708 0.291
0.292 0.709 0.709
0.708 0.291 0.291
0.709 0.292 0.709
0.709 0.709 0.292
0.110 0.500 0.890
0.110 0.890 0.500
0.128 0.371 0.371
0.371 0.128 0.371
0.371 0.371 0.128
0.500 0.110 0.890
0.500 0.890 0.110
0.629 0.629 0.872
0.629 0.872 0.629
0.872 0.629 0.629
0.890 0.110 0.500
0.890 0.500 0.110
```

**Fermi-level density of states**: 0.998 states/eV/atom
**Space-group type**: No. 166

---

Results for DFT formation energy: -0.186, -0.495, -0.264, -0.143, -0.197, -0.279, 0.137, -0.365, -0.409, -0.162, 0.013 (in eV per atom, following the order of the records).